MnInO2: relaxed, PBE with a Hubbard U.

Properties
uncorrected energy: -0.2323 hartree per atom
volume: 15.86 Å³/atom
crystal system: trigonal
total magnetic moment: 4.95 μB/f.u.

a = 3.5234 Å, b = 3.5234 Å, c = 17.7032 Å
α = 90.00°, β = 90.00°, γ = 120.00°
Space group R3m (No. 160, hexagonal axes)
One atom of each set of equivalent atoms:
Mn: 0.0000 0.0000 0.0000 (multiplicity 3)
In: 0.0000 0.0000 0.5059 (multiplicity 3)
O: 0.0000 0.0000 0.1202 (multiplicity 3)
O: 0.0000 0.0000 0.6330 (multiplicity 3)